Record 1
First-principles (GGA-PBE) data for crystalline LaReNi at its relaxed geometry, as listed in Alexandria via LeMat-Bulk.

a b c (Å): 6.6966 6.6967 2.9404
angles (deg): 77.32 77.31 25.36
With the nearest neighbours (Å) after each atom.
Atoms (fractional coordinates):
La1 0.0034 0.0033 0.9966  4 La 2.94, 4 Ni 3.19, 4 Re 3.29
Ni1 0.6931 0.6932 0.3069  4 Re 2.51
Re1 0.3035 0.3035 0.6965  4 Ni 2.51

energy	-7.385	eV/atom
symmetry	No. 107
excess energy over the best structure of this formula in the dataset	122	meV per atom
ΔE_f	0.33	eV per atom
DOS(E_F)	2.99	states/eV per cell

***

Record 2
First-principles (GGA-PBE) data for crystalline LaReNi at its relaxed geometry, as listed in Alexandria via LeMat-Bulk.

a b c (Å): 4.5121 4.5121 4.5121
angles (deg): 60.00 60.00 60.00
With the nearest neighbours (Å) after each atom.
Atoms (fractional coordinates):
La1 0.5000 0.5000 0.5000  4 Ni 2.76
Ni1 0.7500 0.7500 0.7500  4 La 2.76, 4 Re 2.76
Re1 0.0000 0.0000 0.0000  4 Ni 2.76

energy	-6.982	eV/atom
symmetry	No. 216
excess energy over the best structure of this formula in the dataset	525	meV per atom
ΔE_f	0.74	eV per atom
DOS(E_F)	4.23	states/eV per cell